Entry from Alexandria via LeMat-Bulk: crystalline Pu2ThCoN4 at its relaxed geometry (PBE-GGA).

```
data_Pu2ThCoN4
_chemical_formula_sum 'Pu4 Th2 Co2 N8'
_space_group_name_H-M_alt 'P 1'
_space_group_IT_number 1
_cell_length_a 3.428
_cell_length_b 5.911
_cell_length_c 11.465
_cell_angle_alpha 90.00
_cell_angle_beta 90.00
_cell_angle_gamma 106.86
loop_
_space_group_symop_operation_xyz
'x,y,z'
loop_
_atom_site_label
_atom_site_type_symbol
_atom_site_fract_x
_atom_site_fract_y
_atom_site_fract_z
Pu1 Pu 0.369 0.737 0.557
Pu2 Pu 0.631 0.263 0.057
Pu3 Pu 0.631 0.263 0.443
Pu4 Pu 0.369 0.737 0.943
Th1 Th 0.107 0.214 0.750
Th2 Th 0.893 0.786 0.250
Co1 Co 0.845 0.691 0.750
Co2 Co 0.155 0.309 0.250
N1 N 0.270 0.541 0.120
N2 N 0.730 0.459 0.620
N3 N 0.730 0.459 0.880
N4 N 0.270 0.541 0.380
N5 N 0.000 0.000 0.500
N6 N 0.000 0.000 0.000
N7 N 0.449 0.898 0.750
N8 N 0.551 0.102 0.250
```

Values from the calculation:
Volume   222.3 Å³ per cell
Formation energy from raw total energies   -1.12 eV/atom
Symmetry   Cmcm, No. 63
Total moment   14.00 μB per cell

=====

Entry from Alexandria via LeMat-Bulk: crystalline PuTh2CoN4 at its relaxed geometry (PBE-GGA).

```
data_PuTh2CoN4
_chemical_formula_sum 'Pu2 Th4 Co2 N8'
_space_group_name_H-M_alt 'P 1'
_space_group_IT_number 1
_cell_length_a 3.516
_cell_length_b 6.052
_cell_length_c 11.886
_cell_angle_alpha 90.00
_cell_angle_beta 90.00
_cell_angle_gamma 106.89
loop_
_space_group_symop_operation_xyz
'x,y,z'
loop_
_atom_site_label
_atom_site_type_symbol
_atom_site_fract_x
_atom_site_fract_y
_atom_site_fract_z
Pu1 Pu 0.108 0.216 0.750
Pu2 Pu 0.892 0.784 0.250
Th1 Th 0.368 0.736 0.561
Th2 Th 0.632 0.264 0.061
Th3 Th 0.632 0.264 0.439
Th4 Th 0.368 0.736 0.939
Co1 Co 0.841 0.683 0.750
Co2 Co 0.159 0.317 0.250
N1 N 0.274 0.549 0.128
N2 N 0.726 0.451 0.628
N3 N 0.726 0.451 0.872
N4 N 0.274 0.549 0.372
N5 N 0.000 0.000 0.500
N6 N 0.000 0.000 0.000
N7 N 0.458 0.917 0.750
N8 N 0.542 0.083 0.250
```

Values from the calculation:
Volume   242.0 Å³ per cell
Formation energy from raw total energies   -1.07 eV/atom
Symmetry   Cmcm, No. 63
Total moment   5.98 μB per cell

=====

Entry from Alexandria via LeMat-Bulk: crystalline TmPu2CoN4 at its relaxed geometry (PBE-GGA).

```
data_TmPu2CoN4
_chemical_formula_sum 'Tm2 Pu4 Co2 N8'
_space_group_name_H-M_alt 'P 1'
_space_group_IT_number 1
_cell_length_a 3.356
_cell_length_b 5.798
_cell_length_c 11.380
_cell_angle_alpha 90.00
_cell_angle_beta 90.00
_cell_angle_gamma 106.82
loop_
_space_group_symop_operation_xyz
'x,y,z'
loop_
_atom_site_label
_atom_site_type_symbol
_atom_site_fract_x
_atom_site_fract_y
_atom_site_fract_z
Tm1 Tm 0.108 0.216 0.750
Tm2 Tm 0.892 0.784 0.250
Pu1 Pu 0.369 0.738 0.558
Pu2 Pu 0.631 0.262 0.058
Pu3 Pu 0.631 0.262 0.442
Pu4 Pu 0.369 0.738 0.942
Co1 Co 0.846 0.692 0.750
Co2 Co 0.154 0.308 0.250
N1 N 0.269 0.537 0.119
N2 N 0.731 0.463 0.619
N3 N 0.731 0.463 0.881
N4 N 0.269 0.537 0.381
N5 N 0.000 0.000 0.500
N6 N 0.000 0.000 0.000
N7 N 0.456 0.912 0.750
N8 N 0.544 0.088 0.250
```

Values from the calculation:
Volume   212.0 Å³ per cell
Formation energy from raw total energies   -1.03 eV/atom
Symmetry   Cmcm, No. 63
Total moment   11.99 μB per cell

=====

no.,calculated density (g cm⁻³)
1,12.47
2,11.29
3,12.09